# 1
A relaxed structure of PrGe2Ru2. Source: Alexandria, functional GGA-PBEsol. Values from VASP.

```
&SYSTEM
  ibrav = 0, nat = 5, ntyp = 3
/
ATOMIC_SPECIES
Pr 140.91 Pr.upf
Ge 72.64 Ge.upf
Ru 101.07 Ru.upf
CELL_PARAMETERS angstrom
-2.120 2.120 5.000
2.120 -2.120 5.000
2.120 2.120 -5.000
ATOMIC_POSITIONS angstrom
Pr 0.000 0.000 0.000
Ge 0.000 0.000 3.675
Ge 0.000 0.000 6.325
Ru 2.120 0.000 2.500
Ru 0.000 2.120 2.500
```

The calculation puts the spin magnetization at 0.00 μB per cell. As for the formation enthalpy at 0 K: -656 meV per atom.

---

# 2
A relaxed structure of Pr4Ge3S12. Source: Alexandria, functional GGA-PBEsol. Values from VASP.

```
&SYSTEM
  ibrav = 0, nat = 38, ntyp = 3
/
ATOMIC_SPECIES
Pr 140.91 Pr.upf
Ge 72.64 Ge.upf
S 32.06 S.upf
CELL_PARAMETERS angstrom
9.610 5.548 2.641
-9.610 5.548 2.641
0.000 -11.096 2.641
ATOMIC_POSITIONS angstrom
Pr 0.000 0.000 0.000
Pr -5.170 -5.476 3.638
Pr -4.440 0.072 2.317
Pr 2.157 -3.881 2.317
Pr 0.000 0.000 3.961
Pr 2.282 3.809 2.317
Pr -2.157 7.215 3.638
Pr 7.327 -1.739 3.638
Ge -7.938 -2.226 4.069
Ge -2.042 -3.109 2.749
Ge -1.672 3.322 2.749
Ge 3.713 -0.214 2.749
Ge 5.897 -5.762 4.069
Ge 2.042 7.987 4.069
S -5.774 2.590 2.708
S -1.795 -1.019 1.971
S -2.534 -6.478 3.807
S 0.644 -6.295 2.708
S -6.838 -3.678 5.322
S -3.836 -2.959 4.029
S 1.780 -1.045 1.971
S 0.015 2.064 1.971
S -5.266 -0.115 5.128
S -0.233 -3.336 4.002
S -2.772 1.870 4.002
S -4.343 5.433 3.807
S -0.644 4.801 4.029
S -1.780 -1.045 5.932
S 2.733 -4.503 5.128
S 4.480 -1.842 4.029
S 3.005 1.466 4.002
S 5.130 3.706 2.708
S -0.015 2.064 5.932
S 1.795 -1.019 5.932
S 6.877 1.045 3.807
S 6.604 -4.082 5.322
S 0.233 7.761 5.322
S 2.534 4.618 5.128
```

The calculation puts the spin magnetization at 0.00 μB per cell. The final energy is -5.932 eV/atom.

---

# 3
A relaxed structure of Pr6Ge3Se14. Source: Alexandria, functional GGA-PBEsol. Values from VASP.

```
&SYSTEM
  ibrav = 0, nat = 23, ntyp = 3
/
ATOMIC_SPECIES
Pr 140.91 Pr.upf
Ge 72.64 Ge.upf
Se 78.96 Se.upf
CELL_PARAMETERS angstrom
10.603 0.000 0.000
-5.302 9.183 0.000
0.000 0.000 6.005
ATOMIC_POSITIONS angstrom
Pr -2.729 5.169 0.000
Pr 2.721 0.958 2.969
Pr 2.190 4.235 0.000
Pr 0.539 8.961 0.000
Pr 4.771 6.348 2.969
Pr 8.414 1.877 2.969
Ge 0.000 0.000 5.471
Ge 0.000 6.122 2.513
Ge 5.302 3.061 4.560
Se 0.000 0.000 1.796
Se -3.613 7.794 4.516
Se 0.358 2.156 4.516
Se -0.361 3.967 1.546
Se -1.686 7.512 1.546
Se 0.000 6.122 4.840
Se 3.450 1.530 0.034
Se 3.072 3.924 3.100
Se 2.047 6.887 1.546
Se 5.670 0.698 3.100
Se 4.902 5.430 0.034
Se 3.255 8.415 4.516
Se 7.553 2.222 0.034
Se 7.164 4.561 3.100
```

The calculation puts the spin magnetization at 0.00 μB per cell. The final energy is -5.693 eV/atom.